Here is NaPm2MnO4 after structural relaxation from the Alexandria database. Energies are from GGA+U.

Structure (extended XYZ):
```
8
Lattice="-3.125 0.186 3.754 -1.784 -4.370 -1.269 5.672 -0.029 1.541" Properties=species:S:1:pos:R:3 pbc="T T T"
Na 3.525 -1.859 2.627
Pm 1.025 -2.983 0.601
Pm 0.355 -0.705 3.112
Mn -4.601 -3.922 2.329
O -3.709 -1.736 2.964
O -3.038 -4.015 0.451
O 1.813 -0.729 1.145
O -0.433 -2.959 2.568
```

## Properties
- density (kg/m3) = 6316
- symmetry = I4/mmm, No. 139
- DOS at the Fermi energy (states/eV/cell) = 1.1
- total energy (eV per atom) = -7.1424